VSiS2N PBE-GGA optimized geometry; excess energy over the best structure of this formula in the dataset = 0.007 eV per atom; raw formation energy = 0.91 eV per formula unit; E = -30.21 eV per cell
1.0
-2.931 -0.351 3.674
-1.242 -4.324 -1.405
2.439 -1.293 1.823
V S N Si
1 2 1 1
direct
0.500 0.500 0.500
0.500 0.000 0.000
0.000 0.500 0.000
0.000 0.000 0.500
0.000 0.000 0.000